VASP calculation (PBE) on a geometry-optimized AlCrRe2 structure.

- volume (Å³/f.u.) = 57.2
- Fermi-level density of states (states/eV per atom) = 0.922
- magnetic moment (Bohr magnetons per cell) = 1.45
- crystal system = tetragonal
- ΔH_f (0 K) (kJ per mole of atoms) = 12.9

abc: 3.9360 3.8110 3.8110
angles: 90.00 90.00 90.00
Closest atoms and distances in Å follow each position.
Element x y z (fractional)
Re  0.0000  0.0000  0.0000  4 Re 2.69, 4 Cr 2.74, 4 Al 2.74
Re  0.0000  0.5000  0.5000  4 Re 2.69, 4 Cr 2.74, 4 Al 2.74
Al  0.5000  0.5000  0.0000  4 Cr 2.69, 8 Re 2.74
Cr  0.5000  0.0000  0.5000  4 Al 2.69, 8 Re 2.74



VASP calculation (PBE) on a geometry-optimized Al2Cr2Re structure.

- volume (Å³/f.u.) = 68.1
- Fermi-level density of states (states/eV per atom) = 1.149
- magnetic moment (Bohr magnetons per cell) = 5.33
- crystal system = tetragonal
- ΔH_f (0 K) (kJ per mole of atoms) = 15.8

abc: 6.7209 6.7209 3.0151
angles: 90.00 90.00 90.00
Closest atoms and distances in Å follow each position.
Element x y z (fractional)
Re  0.0000  0.0000  0.0000  4 Al 2.62, 8 Cr 2.92
Re  0.5000  0.5000  0.0000  4 Al 2.62, 8 Cr 2.92
Al  0.3672  0.8672  0.0000  6 Cr 2.43-2.52, 1 Al 2.52, 2 Re 2.62
Al  0.8672  0.6328  0.0000  6 Cr 2.43-2.52, 1 Al 2.52, 2 Re 2.62
Al  0.6328  0.1328  0.0000  6 Cr 2.43-2.52, 1 Al 2.52, 2 Re 2.62
Al  0.1328  0.3672  0.0000  6 Cr 2.43-2.52, 1 Al 2.52, 2 Re 2.62
Cr  0.1664  0.6664  0.5000  6 Al 2.43-2.52
Cr  0.6664  0.8336  0.5000  6 Al 2.43-2.52
Cr  0.8336  0.3336  0.5000  6 Al 2.43-2.52
Cr  0.3336  0.1664  0.5000  6 Al 2.43-2.52